1.
This record from the Alexandria database describes a relaxed structure of YCrCu2. The functional is PBE-GGA.

Computed properties:
For the energy above the most stable polymorph in this dataset, the calculation gives 0.41 eV per formula unit. The total DFT energy (no corrections) is -5.861 eV/atom. The value obtained for the density of states at the Fermi level is 2.280 states/eV/cell. Its formation energy is 4.8 kcal/mol of atoms.

Cell lengths 3.292, 3.292, 6.340 Å; angles 90.00, 90.00, 90.00 degrees
Space group P4mm (No. 99)
One atom of each set of equivalent atoms:
Y1 0.000 0.000 0.000 (multiplicity 1)
Cr1 0.500 0.500 0.316 (multiplicity 1)
Cu1 0.000 0.000 0.515 (multiplicity 1)
Cu2 0.500 0.500 0.711 (multiplicity 1)

2.
This record from the Alexandria database describes a relaxed structure of YCr2Cu. The functional is PBE-GGA.

Computed properties:
For the energy above the most stable polymorph in this dataset, the calculation gives 0.17 eV per formula unit. The total DFT energy (no corrections) is -7.163 eV/atom. The value obtained for the density of states at the Fermi level is 12.373 states/eV/cell. Its formation energy is 6.7 kcal/mol of atoms.

Cell lengths 6.522, 6.522, 6.522 Å; angles 90.00, 90.00, 90.00 degrees
Space group F-43m (No. 216)
One atom of each set of equivalent atoms:
Y1 0.000 0.000 0.000 (multiplicity 4)
Cr1 0.000 0.000 0.500 (multiplicity 4)
Cr2 0.250 0.250 0.250 (multiplicity 4)
Cu1 0.250 0.250 0.750 (multiplicity 4)

3.
This record from the Alexandria database describes a relaxed structure of YCr3Cu. The functional is PBE-GGA.

Computed properties:
For the energy above the most stable polymorph in this dataset, the calculation gives 8.17 eV per formula unit. The total DFT energy (no corrections) is -5.329 eV/atom. The value obtained for the density of states at the Fermi level is 9.641 states/eV/cell. Its formation energy is 59.0 kcal/mol of atoms.

Cell lengths 4.509, 4.509, 4.509 Å; angles 90.00, 90.00, 90.00 degrees
Space group Pm-3m (No. 221)
One atom of each set of equivalent atoms:
Y1 0.000 0.000 0.000 (multiplicity 1)
Cr1 0.000 0.000 0.500 (multiplicity 3)
Cu1 0.500 0.500 0.500 (multiplicity 1)